<w>
Density functional theory data (PBE) for a geometry-optimized CaYOF2 structure.

Properties
Calculated density, g/cm3: 3.7
Total magnetization, μB/f.u.: 0.77
Density of states at the Fermi level, states/eV per cell: 2.29
Calculated volume, Å³/cell: 81.95
SG: No. 123

Cell lengths 4.2386, 4.2386, 4.5614 Å; angles 90.00, 90.00, 90.00 degrees
Closest atoms and distances in Å follow each position.
Positions (direct):
F 0.0000 0.5000 0.0000  2 Ca 2.12
F 0.5000 0.0000 0.0000  2 Ca 2.12
Ca 0.0000 0.0000 0.0000  4 F 2.12, 2 O 2.28
O 0.0000 0.0000 0.5000  2 Ca 2.28
Y 0.5000 0.5000 0.5000  4 O 3.00, 8 F 3.11

=====

<x>
Density functional theory data (PBE) for a geometry-optimized CaYOF2 structure.

Properties
Calculated density, g/cm3: 3.4
Total magnetization, μB/f.u.: 0.00
Density of states at the Fermi level, states/eV per cell: 1.34
Calculated volume, Å³/cell: 90.32
SG: No. 123

Cell lengths 4.5383, 4.5383, 4.3855 Å; angles 90.00, 90.00, 90.00 degrees
Closest atoms and distances in Å follow each position.
Positions (direct):
F 0.0000 0.5000 0.0000  2 Y 2.27
F 0.5000 0.0000 0.0000  2 Y 2.27
O 0.0000 0.0000 0.5000  2 Y 2.19
Y 0.0000 0.0000 0.0000  2 O 2.19, 4 F 2.27
Ca 0.5000 0.5000 0.5000  8 F 3.16, 4 O 3.21

=====

Q: Which of them is the most stable? A: <x>.

=====

<w>
Density functional theory data (PBE) for a geometry-optimized CaOsF3 structure.

Properties
Calculated density, g/cm3: 5.4
Total magnetization, μB/f.u.: 5.00
Density of states at the Fermi level, states/eV per cell: 5.88
Calculated volume, Å³/cell: 89.08
SG: No. 221

Cell lengths 4.4661, 4.4661, 4.4661 Å; angles 90.00, 90.00, 90.00 degrees
Closest atoms and distances in Å follow each position.
Positions (direct):
F 0.0000 0.5000 0.0000  2 Ca 2.23
F 0.5000 0.0000 0.0000  2 Ca 2.23
F 0.0000 0.0000 0.5000  2 Ca 2.23
Ca 0.0000 0.0000 0.0000  6 F 2.23
Os 0.5000 0.5000 0.5000  12 F 3.16

=====

<x>
Density functional theory data (PBE) for a geometry-optimized CaOsF3 structure.

Properties
Calculated density, g/cm3: 5.9
Total magnetization, μB/f.u.: 0.00
Density of states at the Fermi level, states/eV per cell: 3.13
Calculated volume, Å³/cell: 80.63
SG: No. 221

Cell lengths 4.3202, 4.3202, 4.3202 Å; angles 90.00, 90.00, 90.00 degrees
Closest atoms and distances in Å follow each position.
Positions (direct):
F 0.0000 0.5000 0.0000  2 Os 2.16
F 0.0000 0.0000 0.5000  2 Os 2.16
F 0.5000 0.0000 0.0000  2 Os 2.16
Os 0.0000 0.0000 0.0000  6 F 2.16
Ca 0.5000 0.5000 0.5000  12 F 3.05

=====

Q: Which of them is the most stable? A: <w>.

=====

<w>
Density functional theory data (PBE) for a geometry-optimized CaPF2 structure.

Properties
Calculated density, g/cm3: 1.7
Total magnetization, μB/f.u.: 1.00
Density of states at the Fermi level, states/eV per cell: 0.00
Calculated volume, Å³/cell: 213.89
SG: No. 122

Cell lengths 6.4026, 6.4026, 6.9081 Å; angles 62.39, 62.39, 90.00 degrees
Closest atoms and distances in Å follow each position.
Positions (direct):
F 0.7832 0.1250 0.2500  2 Ca 2.15
F 0.9668 0.6250 0.2500  2 Ca 2.15
F 0.8750 0.0332 0.7500  2 Ca 2.15
F 0.3750 0.2168 0.7500  2 Ca 2.15
Ca 0.7500 0.2500 0.5000  4 F 2.15
Ca 0.0000 0.0000 0.0000  4 F 2.15
P 0.2500 0.7500 0.5000  4 F 3.33
P 0.5000 0.5000 0.0000  4 F 3.33

=====

<x>
Density functional theory data (PBE) for a geometry-optimized CaPF2 structure.

Properties
Calculated density, g/cm3: 2.0
Total magnetization, μB/f.u.: 0.94
Density of states at the Fermi level, states/eV per cell: 1.86
Calculated volume, Å³/cell: 91.92
SG: No. 166

Cell lengths 9.5040, 9.5040, 9.5040 Å; angles 20.47, 20.47, 20.47 degrees
Closest atoms and distances in Å follow each position.
Positions (direct):
F 0.1280 0.1280 0.1280  3 Ca 2.23
F 0.8720 0.8720 0.8720  3 Ca 2.23
Ca 0.5000 0.5000 0.5000  6 F 2.23
P 0.0000 0.0000 0.0000  6 P 3.38, 2 F 3.57

=====

<y>
Density functional theory data (PBE) for a geometry-optimized CaPF2 structure.

Properties
Calculated density, g/cm3: 2.8
Total magnetization, μB/f.u.: 3.00
Density of states at the Fermi level, states/eV per cell: 0.06
Calculated volume, Å³/cell: 63.66
SG: No. 225

Cell lengths 4.4819, 4.4819, 4.4819 Å; angles 60.00, 60.00, 60.00 degrees
Closest atoms and distances in Å follow each position.
Positions (direct):
P 0.0000 0.0000 0.0000  8 F 2.74
Ca 0.5000 0.5000 0.5000  8 F 2.74
F 0.2500 0.2500 0.2500  4 Ca 2.74, 4 P 2.74
F 0.7500 0.7500 0.7500  4 Ca 2.74, 4 P 2.74

=====

Q: Which of them is the most stable? A: <x>.